Record 1
Cd2CuAu SCAN PBEsol geometry; final energy = -36.375 eV per atom; crystal system = monoclinic; energy of formation = -0.08 eV per atom; space-group type = Cm (8)
1.0
5.001 -1.568 0.000
5.001 1.568 0.000
-1.710 0.000 4.350
Cd Cu Au
2 1 1
Cartesian
0.000 0.000 0.000
1.043 0.000 2.907
3.941 0.000 2.151
7.274 0.000 0.884

Record 2
Cd2CuAu SCAN PBEsol geometry; final energy = -36.361 eV per atom; crystal system = tetragonal; energy of formation = -0.07 eV per atom; space-group type = P4mm (99)
1.0
3.140 0.000 0.000
0.000 3.140 0.000
0.000 0.000 6.920
Cd Cu Au
2 1 1
Cartesian
0.000 0.000 0.000
1.570 1.570 2.086
0.000 0.000 3.672
1.570 1.570 5.084

Record 3
CdCuAu2 SCAN PBEsol geometry; final energy = -46.107 eV per atom; crystal system = tetragonal; energy of formation = -0.12 eV per atom; space-group type = I4/mmm (139)
1.0
-2.046 2.046 3.870
2.046 -2.046 3.870
2.046 2.046 -3.870
Cd Cu Au
1 1 2
Cartesian
0.000 0.000 0.000
0.000 0.000 3.870
2.046 0.000 1.935
0.000 2.046 1.935

Record 4
CdCuAu2 SCAN PBEsol geometry; final energy = -46.139 eV per atom; crystal system = orthorhombic; energy of formation = -0.16 eV per atom; space-group type = Pmmm (47)
1.0
3.024 0.000 0.000
0.000 3.123 0.000
0.000 0.000 6.851
Cd Cu Au
1 1 2
Cartesian
0.000 0.000 0.000
0.000 0.000 3.426
1.512 1.561 1.917
1.512 1.561 4.934

Record 5
CdCuAu2 SCAN PBEsol geometry; final energy = -46.071 eV per atom; crystal system = monoclinic; energy of formation = -0.09 eV per atom; space-group type = Cm (8)
1.0
4.750 -1.488 0.000
4.750 1.488 0.000
-1.202 0.000 4.601
Cd Cu Au
1 1 2
Cartesian
0.000 0.000 0.000
1.556 0.000 3.386
4.325 0.000 2.392
6.924 0.000 1.128

Record 6
Cd2CuAu SCAN PBEsol geometry; final energy = -36.370 eV per atom; crystal system = orthorhombic; energy of formation = -0.07 eV per atom; space-group type = Pmmm (47)
1.0
3.067 0.000 0.000
0.000 3.565 0.000
0.000 0.000 6.174
Cd Cu Au
2 1 1
Cartesian
0.000 0.000 1.446
0.000 0.000 4.728
1.534 1.782 0.000
1.534 1.782 3.087